[1]
Material: AsIrPbSe2
Method: DFT, PBE
State: relaxed

Properties
energy relative to the elements, uncorrected = 19.6 kJ per mole of atoms
polymorph energy (0 for the lowest one) = 0 meV/atom
E_tot = -4.635 eV per atom
crystal system = tetragonal

Geometry as CIF:
```
data_AsIrPbSe2
_chemical_formula_sum 'As1 Ir1 Pb1 Se2'
_cell_length_a 5.2571
_cell_length_b 5.2571
_cell_length_c 4.5585
_cell_angle_alpha 90.00
_cell_angle_beta 90.00
_cell_angle_gamma 90.00
_symmetry_space_group_name_H-M 'P 4/m m m'
_symmetry_Int_Tables_number 123
_symmetry_space_group_name_Hall '-P 4 2'
loop_
_atom_site_label
_atom_site_type_symbol
_atom_site_fract_x
_atom_site_fract_y
_atom_site_fract_z
As1 As 0.0000 0.0000 0.0000
Ir1 Ir 0.0000 0.0000 0.5000
Pb1 Pb 0.5000 0.5000 0.0000
Se1 Se 0.0000 0.5000 0.5000
```

[2]
Material: AlAg3H
Method: DFT, PBE
State: relaxed

Properties
polymorph energy (0 for the lowest one) = 0 meV/atom
E_tot = -2.932 eV per atom
crystal system = cubic

Geometry as CIF:
```
data_AlAg3H
_chemical_formula_sum 'Al1 Ag3 H1'
_cell_length_a 4.1806
_cell_length_b 4.1806
_cell_length_c 4.1806
_cell_angle_alpha 90.00
_cell_angle_beta 90.00
_cell_angle_gamma 90.00
_symmetry_space_group_name_H-M 'P m -3 m'
_symmetry_Int_Tables_number 221
_symmetry_space_group_name_Hall '-P 4 2 3'
loop_
_atom_site_label
_atom_site_type_symbol
_atom_site_fract_x
_atom_site_fract_y
_atom_site_fract_z
Al1 Al 0.0000 0.0000 0.0000
Ag1 Ag 0.0000 0.5000 0.5000
H1 H 0.5000 0.5000 0.5000
```

[3]
Material: YTaC3
Method: DFT, PBE
State: relaxed

Properties
polymorph energy (0 for the lowest one) = 0 meV/atom
ΔH_f (0 K) = 747 meV per atom
E_tot = -8.451 eV per atom
crystal system = cubic

Geometry as CIF:
```
data_YTaC3
_chemical_formula_sum 'Y1 Ta1 C3'
_cell_length_a 4.1674
_cell_length_b 4.1674
_cell_length_c 4.1674
_cell_angle_alpha 90.00
_cell_angle_beta 90.00
_cell_angle_gamma 90.00
_symmetry_space_group_name_H-M 'P m -3 m'
_symmetry_Int_Tables_number 221
_symmetry_space_group_name_Hall '-P 4 2 3'
loop_
_atom_site_label
_atom_site_type_symbol
_atom_site_fract_x
_atom_site_fract_y
_atom_site_fract_z
Y1 Y 0.0000 0.0000 0.0000
Ta1 Ta 0.5000 0.5000 0.5000
C1 C 0.0000 0.5000 0.5000
```

[4]
Material: ScFeP2Ru
Method: DFT, PBE
State: relaxed

Properties
ΔH_f (0 K) = -922 meV per atom
E_tot = -7.900 eV per atom
crystal system = tetragonal

Geometry as CIF:
```
data_ScFeP2Ru
_chemical_formula_sum 'Sc2 Fe2 P4 Ru2'
_cell_length_a 3.8928
_cell_length_b 3.8928
_cell_length_c 9.2260
_cell_angle_alpha 90.00
_cell_angle_beta 90.00
_cell_angle_gamma 90.00
_symmetry_space_group_name_H-M 'I -4 m 2'
_symmetry_Int_Tables_number 119
_symmetry_space_group_name_Hall 'I -4 -2'
loop_
_atom_site_label
_atom_site_type_symbol
_atom_site_fract_x
_atom_site_fract_y
_atom_site_fract_z
Sc1 Sc 0.0000 0.0000 0.0000
Fe1 Fe 0.0000 0.5000 0.2500
P1 P 0.0000 0.0000 0.3771
Ru1 Ru 0.0000 0.5000 0.7500
```

[5]
Material: Cr2InCu
Method: DFT, PBE
State: relaxed

Properties
ΔH_f (0 K) = 538 meV per atom
E_tot = -5.982 eV per atom
crystal system = monoclinic

Geometry as CIF:
```
data_Cr2InCu
_chemical_formula_sum 'Cr4 In2 Cu2'
_cell_length_a 5.0650
_cell_length_b 8.6315
_cell_length_c 2.6373
_cell_angle_alpha 90.00
_cell_angle_beta 100.74
_cell_angle_gamma 90.00
_symmetry_space_group_name_H-M 'C 1 2/m 1'
_symmetry_Int_Tables_number 12
_symmetry_space_group_name_Hall '-C 2y'
loop_
_atom_site_label
_atom_site_type_symbol
_atom_site_fract_x
_atom_site_fract_y
_atom_site_fract_z
Cr1 Cr 0.2500 0.2500 0.0000
In1 In 0.0000 0.0000 0.5000
Cu1 Cu 0.0000 0.5000 0.5000
```

[6]
Material: SiS
Method: DFT, PBE
State: relaxed

Properties
energy relative to the elements, uncorrected = -6.6 kJ per mole of atoms
E_tot = -4.844 eV per atom
crystal system = tetragonal

Geometry as CIF:
```
data_SiS
_chemical_formula_sum 'Si4 S4'
_cell_length_a 3.2633
_cell_length_b 3.2633
_cell_length_c 15.0742
_cell_angle_alpha 90.00
_cell_angle_beta 90.00
_cell_angle_gamma 90.00
_symmetry_space_group_name_H-M 'I 4/m m m'
_symmetry_Int_Tables_number 139
_symmetry_space_group_name_Hall '-I 4 2'
loop_
_atom_site_label
_atom_site_type_symbol
_atom_site_fract_x
_atom_site_fract_y
_atom_site_fract_z
Si1 Si 0.0000 0.0000 0.0802
S1 S 0.0000 0.0000 0.3772
```

[7]
Material: Ca2CuSn4Au3
Method: DFT, PBE
State: relaxed

Properties
ΔH_f (0 K) = -426 meV per atom
E_tot = -3.820 eV per atom
crystal system = tetragonal

Geometry as CIF:
```
data_Ca2CuSn4Au3
_chemical_formula_sum 'Ca2 Cu1 Sn4 Au3'
_cell_length_a 4.5618
_cell_length_b 4.5618
_cell_length_c 11.7223
_cell_angle_alpha 90.00
_cell_angle_beta 90.00
_cell_angle_gamma 90.00
_symmetry_space_group_name_H-M 'P -4 m 2'
_symmetry_Int_Tables_number 115
_symmetry_space_group_name_Hall 'P -4 -2'
loop_
_atom_site_label
_atom_site_type_symbol
_atom_site_fract_x
_atom_site_fract_y
_atom_site_fract_z
Ca1 Ca 0.0000 0.5000 0.2284
Cu1 Cu 0.5000 0.5000 0.0000
Sn1 Sn 0.0000 0.0000 0.5000
Sn2 Sn 0.0000 0.5000 0.8750
Sn3 Sn 0.5000 0.5000 0.5000
Au1 Au 0.0000 0.0000 0.0000
Au2 Au 0.0000 0.5000 0.6473
```

[8]
Material: UInTeO6
Method: DFT, PBE
State: relaxed

Properties
energy relative to the elements, uncorrected = -181.1 kJ per mole of atoms
E_tot = -7.090 eV per atom
crystal system = trigonal

Geometry as CIF:
```
data_UInTeO6
_chemical_formula_sum 'U2 In2 Te2 O12'
_cell_length_a 5.6853
_cell_length_b 5.6853
_cell_length_c 9.2044
_cell_angle_alpha 90.00
_cell_angle_beta 90.00
_cell_angle_gamma 120.00
_symmetry_space_group_name_H-M 'P -3 1 c'
_symmetry_Int_Tables_number 163
_symmetry_space_group_name_Hall '-P 3 2c'
loop_
_atom_site_label
_atom_site_type_symbol
_atom_site_fract_x
_atom_site_fract_y
_atom_site_fract_z
U1 U 0.3333 0.6667 0.2500
In1 In 0.0000 0.0000 0.0000
Te1 Te 0.3333 0.6667 0.7500
O1 O 0.0057 0.3391 0.1303
```

[9]
Material: AgSbOs2
Method: DFT, PBE
State: relaxed

Properties
energy relative to the elements, uncorrected = 39.8 kJ per mole of atoms
E_tot = -6.946 eV per atom
crystal system = monoclinic

Geometry as CIF:
```
data_AgSbOs2
_chemical_formula_sum 'Ag1 Sb1 Os2'
_cell_length_a 2.8930
_cell_length_b 2.8990
_cell_length_c 8.8600
_cell_angle_alpha 90.00
_cell_angle_beta 90.01
_cell_angle_gamma 90.00
_symmetry_space_group_name_H-M 'P 1 m 1'
_symmetry_Int_Tables_number 6
_symmetry_space_group_name_Hall 'P -2y'
loop_
_atom_site_label
_atom_site_type_symbol
_atom_site_fract_x
_atom_site_fract_y
_atom_site_fract_z
Ag1 Ag 0.0000 0.0000 0.0000
Sb1 Sb 0.0017 0.5000 0.6877
Os1 Os 0.0002 0.0000 0.4156
Os2 Os 0.5000 0.5000 0.2383
```

[10]
Material: Ca3WAu
Method: DFT, PBE
State: relaxed

Properties
polymorph energy (0 for the lowest one) = 0 meV/atom
ΔH_f (0 K) = 761 meV per atom
E_tot = -3.686 eV per atom
crystal system = cubic

Geometry as CIF:
```
data_Ca3WAu
_chemical_formula_sum 'Ca3 W1 Au1'
_cell_length_a 5.5647
_cell_length_b 5.5647
_cell_length_c 5.5647
_cell_angle_alpha 90.00
_cell_angle_beta 90.00
_cell_angle_gamma 90.00
_symmetry_space_group_name_H-M 'P m -3 m'
_symmetry_Int_Tables_number 221
_symmetry_space_group_name_Hall '-P 4 2 3'
loop_
_atom_site_label
_atom_site_type_symbol
_atom_site_fract_x
_atom_site_fract_y
_atom_site_fract_z
Ca1 Ca 0.0000 0.0000 0.5000
W1 W 0.5000 0.5000 0.5000
Au1 Au 0.0000 0.0000 0.0000
```

[11]
Material: MgAg4Rh
Method: DFT, PBE
State: relaxed

Properties
ΔH_f (0 K) = 167 meV per atom
E_tot = -3.225 eV per atom
crystal system = cubic

Geometry as CIF:
```
data_MgAg4Rh
_chemical_formula_sum 'Mg4 Ag16 Rh4'
_cell_length_a 7.6122
_cell_length_b 7.6122
_cell_length_c 7.6122
_cell_angle_alpha 90.00
_cell_angle_beta 90.00
_cell_angle_gamma 90.00
_symmetry_space_group_name_H-M 'F -4 3 m'
_symmetry_Int_Tables_number 216
_symmetry_space_group_name_Hall 'F -4 2 3'
loop_
_atom_site_label
_atom_site_type_symbol
_atom_site_fract_x
_atom_site_fract_y
_atom_site_fract_z
Mg1 Mg 0.0000 0.0000 0.0000
Ag1 Ag 0.1249 0.1249 0.3751
Rh1 Rh 0.2500 0.2500 0.7500
```

[12]
Material: NaMn2AlAs
Method: DFT, PBE
State: relaxed

Properties
polymorph energy (0 for the lowest one) = 38 meV/atom
ΔH_f (0 K) = 520 meV per atom
E_tot = -5.090 eV per atom
crystal system = tetragonal

Geometry as CIF:
```
data_NaMn2AlAs
_chemical_formula_sum 'Na1 Mn2 Al1 As1'
_cell_length_a 4.7200
_cell_length_b 4.7200
_cell_length_c 5.0921
_cell_angle_alpha 90.00
_cell_angle_beta 90.00
_cell_angle_gamma 90.00
_symmetry_space_group_name_H-M 'P 4/m m m'
_symmetry_Int_Tables_number 123
_symmetry_space_group_name_Hall '-P 4 2'
loop_
_atom_site_label
_atom_site_type_symbol
_atom_site_fract_x
_atom_site_fract_y
_atom_site_fract_z
Na1 Na 0.0000 0.0000 0.0000
Mn1 Mn 0.0000 0.5000 0.5000
Al1 Al 0.5000 0.5000 0.0000
As1 As 0.5000 0.5000 0.5000
```